No. 1
Below is an optimized crystal structure of Sr3SiGe3, with properties calculated at the GGA-PBE level.

```
Sr3SiGe3
1.0
-0.3746 1.3017 -4.5949
-6.0157 0.2175 -1.9451
-1.7804 13.5116 1.4758
Sr Si Ge
6 2 6
Cartesian
-3.3668 9.0847 -2.1461
-4.8039 5.9461 -2.9181
-1.9664 3.5392 -1.3342
-6.2043 11.4916 -3.7300
-3.5210 13.0247 -1.0173
-4.6497 2.0062 -4.0469
-1.4666 6.1952 -3.1196
-6.7041 8.8356 -1.9446
-6.2591 8.5450 -4.5603
-1.9116 6.4858 -0.5039
-6.9269 12.8017 -0.8029
-1.2438 2.2291 -4.2613
-5.7385 4.5773 -5.7268
-2.4322 10.4535 0.6626
```

Values from the calculation:
**SG**: No. 12
**V**: 26.986 Å³/atom
**DFT total energy**: -3.960 eV/atom

=====

No. 2
Below is an optimized crystal structure of Na2SrNpI8, with properties calculated at the GGA-PBE level.

```
Na2SrNpI8
1.0
7.7875 -0.2049 -0.0038
-0.2741 7.3903 -0.0086
0.0051 0.0115 9.5303
Na Sr Np I
2 1 1 8
Cartesian
3.7605 3.6007 7.0457
3.7580 3.5962 2.4722
0.0026 0.0058 4.7652
0.0000 0.0000 0.0000
0.9758 5.6682 2.1384
5.0898 5.4202 9.5212
6.5398 1.5222 2.1403
6.5427 1.5287 7.3795
2.4286 1.7767 -0.0033
0.9787 5.6746 7.3776
4.9455 5.3083 4.7565
2.5730 1.8886 4.7613
```

Values from the calculation:
**SG**: No. 10
**V**: 45.663 Å³/atom
**DFT total energy**: -3.602 eV/atom

=====

No. 3
Below is an optimized crystal structure of PmDyPt, with properties calculated at the GGA-PBE level.

```
PmDyPt
1.0
6.9381 0.0000 0.0000
0.0000 7.1866 0.0000
0.0000 0.0000 13.4058
Pm Dy Pt
8 8 8
Cartesian
5.5554 2.8364 10.7452
1.3827 4.3501 2.6606
4.8518 6.4297 2.6606
1.3827 0.7569 4.0423
2.0864 0.7569 10.7452
5.5554 6.4297 9.3635
2.0864 4.3501 9.3635
4.8518 2.8364 4.0423
0.0214 1.8706 7.1223
6.9167 5.3159 6.2835
3.4477 5.4639 6.2835
6.9167 1.7227 0.4194
3.4905 1.7227 7.1223
0.0214 5.4639 12.9864
3.4905 5.3159 12.9864
3.4477 1.8706 0.4194
5.0426 0.2989 12.0373
1.8955 6.8876 1.3686
5.3646 3.8922 1.3686
1.8955 3.2944 5.3344
1.5736 3.2944 12.0373
5.0426 3.8922 8.0715
1.5736 6.8876 8.0715
5.3646 0.2989 5.3344
```

Values from the calculation:
**Energy of formation from the pure elements**: -2.7 eV per formula unit
**SG**: No. 61
**V**: 27.851 Å³/atom
**DFT total energy**: -6.016 eV/atom

=====

No. 4
Below is an optimized crystal structure of Zr2AsPb, with properties calculated at the GGA-PBE level.

```
Zr2AsPb
1.0
-2.4813 -2.9497 -0.3302
-0.7332 -2.3419 2.9908
-6.4873 2.6184 2.9357
Pb As Zr
1 1 2
Cartesian
-2.4254 -0.6683 1.3991
-7.2763 -2.0049 4.1972
-6.2381 2.4295 2.8391
-5.1001 -1.1477 2.8947
```

Values from the calculation:
**Energy of formation from the pure elements**: -2.4 eV per formula unit
**SG**: No. 12
**V**: 23.256 Å³/atom
**DFT total energy**: -6.955 eV/atom

=====

No. 5
Below is an optimized crystal structure of KScHg, with properties calculated at the GGA-PBE level.

```
KScHg
1.0
-7.2799 2.1406 -0.3317
-6.6153 -1.4820 3.4251
7.4275 1.5751 0.2033
Hg K Sc
1 1 1
Cartesian
-0.4722 0.0224 0.1051
-4.8392 0.2294 1.0773
-8.5838 0.4069 1.9109
```

Values from the calculation:
**Energy of formation from the pure elements**: 0.0 eV per formula unit
**SG**: No. 107
**V**: 32.869 Å³/atom
**DFT total energy**: -2.574 eV/atom

=====

No. 6
Below is an optimized crystal structure of AcIn2Br3Cl3, with properties calculated at the GGA-PBE level.

```
AcIn2Br3Cl3
1.0
4.4431 0.0000 0.0000
0.0000 8.1842 0.0000
0.0000 -4.0921 7.0877
Ac In Br Cl
1 2 3 3
Cartesian
0.0000 0.0000 0.0000
2.2215 0.0000 4.7251
2.2215 4.0921 2.3626
0.0000 -1.6666 2.8867
0.0000 2.4255 4.2010
0.0000 3.3333 0.0000
2.2215 6.1789 0.0000
2.2215 1.0026 1.7366
2.2215 -3.0895 5.3511
```

Values from the calculation:
**SG**: No. 189
**V**: 28.637 Å³/atom
**DFT total energy**: -3.621 eV/atom

=====

The records above yield total moment values of 0.00 2.98 0.00 0.00 0.00 0.00 μB per formula unit, respectively.